Density functional theory data (PBE-GGA) for crystalline PaInPt at its relaxed geometry.

Properties
ΔE_f   -1.7 eV per formula unit
DFT total energy   -19.96 eV/cell

Cell lengths 4.7610, 4.7610, 3.2885 Å; angles 90.00, 90.00, 120.00 degrees
With the nearest neighbours (Å) after each atom.
Element x y z (fractional)
1 Pa 0.0000 0.0000 0.0000  6 In 3.20, 6 Pt 3.20, 2 Pa 3.29
2 In 0.3333 0.6667 0.5000  3 Pt 2.75
3 Pt 0.6667 0.3333 0.5000  3 In 2.75